Tl2RuC PBE-GGA relaxed; Fermi-level density of states = 7.99 states/eV/cell; E_form = 0.885 eV per atom; energy above the most stable polymorph in this dataset = 0 meV per atom
1.0
9.655 0.000 0.000
0.000 9.655 0.000
0.000 0.000 3.878
Tl Ru C
8 4 4
direct
0.093 0.250 0.125
0.250 0.593 0.375
0.250 0.907 0.875
0.407 0.250 0.625
0.593 0.750 0.625
0.750 0.093 0.875
0.750 0.407 0.375
0.907 0.750 0.125
0.000 0.000 0.500
0.000 0.500 0.750
0.500 0.000 0.250
0.500 0.500 0.000
0.000 0.000 0.000
0.000 0.500 0.250
0.500 0.000 0.750
0.500 0.500 0.500

Dy6Pt23 PBE-GGA relaxed; Fermi-level density of states = 22.87 states/eV/cell; E_form = -0.751 eV per atom
1.0
0.000 6.445 6.445
6.445 0.000 6.445
6.445 6.445 0.000
Dy Pt
6 23
direct
0.220 0.220 0.780
0.220 0.780 0.220
0.220 0.780 0.780
0.780 0.220 0.220
0.780 0.220 0.780
0.780 0.780 0.220
0.000 0.000 0.500
0.000 0.500 0.000
0.000 0.500 0.500
0.137 0.621 0.621
0.166 0.166 0.166
0.166 0.166 0.502
0.166 0.502 0.166
0.379 0.379 0.379
0.379 0.379 0.863
0.379 0.863 0.379
0.498 0.834 0.834
0.500 0.000 0.000
0.500 0.000 0.500
0.500 0.500 0.000
0.500 0.500 0.500
0.502 0.166 0.166
0.621 0.137 0.621
0.621 0.621 0.137
0.621 0.621 0.621
0.834 0.498 0.834
0.834 0.834 0.498
0.834 0.834 0.834
0.863 0.379 0.379

Ce2Ge4IrRh3 PBE-GGA relaxed; Fermi-level density of states = 8.40 states/eV/cell; E_form = -0.842 eV per atom
1.0
4.242 0.000 0.000
0.000 4.242 0.000
0.000 0.000 10.152
Ce Ge Ir Rh
2 4 1 3
direct
0.000 0.500 0.244
0.500 0.000 0.756
0.000 0.000 0.000
0.000 0.500 0.632
0.500 0.000 0.368
0.500 0.500 0.000
0.000 0.000 0.500
0.000 0.500 0.872
0.500 0.000 0.128
0.500 0.500 0.500

| no. | size of the total moment (μB/atom) |
| --- | --- |
| 1 | 0.00 |
| 2 | 0.00 |
| 3 | 0.11 |